# 1
# Sc3Os

Sc3Os after structural relaxation (PBE, Alexandria via LeMat-Bulk).

N(E_F): 8.29 states/eV/cell
mass density: 6.8 g/cm3
formation enthalpy at 0 K: -0.3 eV/f.u.

Unit cell a=9.428 b=9.428 c=9.428 alpha=154.23 beta=154.23 gamma=36.76
Fractional coordinates of all 8 atoms:
1 Sc 0.500 0.000 0.500
2 Sc 0.000 0.500 0.500
3 Sc 0.750 0.250 0.500
4 Sc 0.250 0.750 0.500
5 Sc 0.127 0.127 0.000
6 Sc 0.873 0.873 0.000
7 Os 0.359 0.359 0.000
8 Os 0.641 0.641 0.000

***

# 2
# ScOs3

ScOs3 after structural relaxation (PBE, Alexandria via LeMat-Bulk).

N(E_F): 13.72 states/eV/cell
mass density: 16.5 g/cm3
formation enthalpy at 0 K: -0.3 eV/f.u.

Unit cell a=4.999 b=9.062 c=5.459 alpha=90.00 beta=90.00 gamma=90.00
Fractional coordinates of all 16 atoms:
1 Sc 0.043 0.750 0.634
2 Sc 0.457 0.250 0.134
3 Sc 0.543 0.750 0.866
4 Sc 0.957 0.250 0.366
5 Os 0.927 0.250 0.862
6 Os 0.271 0.984 0.389
7 Os 0.271 0.516 0.389
8 Os 0.229 0.484 0.889
9 Os 0.229 0.016 0.889
10 Os 0.573 0.750 0.362
11 Os 0.427 0.250 0.638
12 Os 0.771 0.984 0.111
13 Os 0.771 0.516 0.111
14 Os 0.729 0.484 0.611
15 Os 0.729 0.016 0.611
16 Os 0.073 0.750 0.138

***

N(E_F) of number 2 (ScOs3)?
13.72 states/eV/cell